Material: NpAl3Au
Method: DFT, PBE
State: optimized geometry

a b c (Å): 6.265 6.265 6.265
angles (deg): 140.42 140.42 57.22
Fractional positions:
Np (0.000, 0.000, 0.000)
Al (0.232, 0.732, 0.500)
Al (0.584, 0.584, 0.000)
Al (0.732, 0.232, 0.500)
Au (0.360, 0.360, 0.000)

Summary:
DOS at the Fermi energy, states/eV/cell: 9.53
Energy above the most stable polymorph in this dataset, eV/f.u.: 0.000
Energy relative to the elements, eV/atom: -0.248
VASP energy, eV per atom: -5.74